MoPO2: relaxed, GGA+U.

Cell: 2.7767 2.7767 19.7296 Å, 90.00 90.00 120.00°
Space group R-3m (No. 166, hexagonal axes)
Inequivalent atoms, fractional coordinates:
Mo1 0.0000 0.0000 0.0000 [3 per cell]
P1 0.0000 0.0000 0.5000 [3 per cell]
O1 0.0000 0.0000 0.4062 [6 per cell]

---

MoP3O: relaxed, GGA+U.

Cell: 4.1707 4.1707 4.1707 Å, 90.00 90.00 90.00°
Space group Pm-3m (No. 221)
Inequivalent atoms, fractional coordinates:
Mo1 0.0000 0.0000 0.0000 [1 per cell]
P1 0.0000 0.5000 0.5000 [3 per cell]
O1 0.5000 0.5000 0.5000 [1 per cell]

## Properties
**Energy above the most stable polymorph in this dataset**: 0 meV per atom

---

Mo2PO: relaxed, GGA+U.

Cell: 5.1606 5.1606 10.4767 Å, 90.00 90.00 90.00°
Space group I-42d (No. 122)
Inequivalent atoms, fractional coordinates:
Mo1 0.2002 0.2500 0.1250 [8 per cell]
P1 0.0000 0.0000 0.5000 [4 per cell]
O1 0.0000 0.0000 0.0000 [4 per cell]

## Properties
**Energy above the most stable polymorph in this dataset**: 0 meV per atom

---

MoPO2: relaxed, GGA+U.

Cell: 8.5840 8.5840 8.5840 Å, 90.00 90.00 90.00°
Space group Fd-3m (No. 227, origin choice 2)
Inequivalent atoms, fractional coordinates:
Mo1 0.1250 0.1250 0.1250 [8 per cell]
P1 0.1250 0.1250 0.6250 [8 per cell]
O1 0.0000 0.0000 0.0000 [16 per cell]

---

MoP2O7: relaxed, GGA+U.

Cell: 4.9892 8.4755 7.0948 Å, 90.00 106.07 90.00°
Space group P2_1 (No. 4)
Inequivalent atoms, fractional coordinates:
Mo1 0.2176 0.0000 0.2286 [2 per cell]
P1 0.2445 0.7363 0.6131 [2 per cell]
P2 0.3814 0.3101 0.0023 [2 per cell]
O1 0.0013 0.6768 0.6858 [2 per cell]
O2 0.1435 0.4303 0.9652 [2 per cell]
O3 0.1443 0.8384 0.4336 [2 per cell]
O4 0.2847 0.1402 0.0031 [2 per cell]
O5 0.4276 0.8527 0.7807 [2 per cell]
O6 0.4344 0.5977 0.5878 [2 per cell]
O7 0.4394 0.8288 0.1414 [2 per cell]

## Properties
**Energy above the most stable polymorph in this dataset**: 0 meV per atom

---

MoP2O7: relaxed, GGA+U.

Cell: 7.3162 8.5256 9.6415 Å, 90.00 109.48 90.00°
Space group P2_1/c (No. 14)
Inequivalent atoms, fractional coordinates:
Mo1 0.2262 0.0058 0.2520 [4 per cell]
P1 0.1755 0.7011 0.4457 [4 per cell]
P2 0.4276 0.2376 0.5570 [4 per cell]
O1 0.0472 0.5867 0.3304 [4 per cell]
O2 0.1372 0.6278 0.9010 [4 per cell]
O3 0.1643 0.6721 0.5997 [4 per cell]
O4 0.3002 0.1505 0.1037 [4 per cell]
O5 0.3216 0.1793 0.4003 [4 per cell]
O6 0.3921 0.6576 0.4510 [4 per cell]
O7 0.4925 0.6003 0.8360 [4 per cell]

## Properties
**Energy above the most stable polymorph in this dataset**: 3 meV per atom

---

MoP2O7: relaxed, GGA+U.

Cell: 9.9929 8.3678 13.5005 Å, 90.00 111.27 90.00°
Space group C2/c (No. 15)
Inequivalent atoms, fractional coordinates:
Mo1 0.1439 0.2347 0.1455 [8 per cell]
P1 0.1278 0.0387 0.9296 [8 per cell]
P2 0.1664 0.4199 0.3669 [8 per cell]
O1 0.0087 0.0448 0.1426 [8 per cell]
O2 0.0252 0.3965 0.3831 [8 per cell]
O3 0.0954 0.1840 0.9878 [8 per cell]
O4 0.1797 0.4160 0.8226 [8 per cell]
O5 0.1979 0.2809 0.3023 [8 per cell]
O6 0.2074 0.0944 0.5176 [8 per cell]
O7 0.2263 0.0848 0.8705 [8 per cell]

## Properties
**Energy above the most stable polymorph in this dataset**: 25 meV per atom

---

MoP2O7: relaxed, GGA+U.

Cell: 6.7020 8.2287 4.6597 Å, 90.00 101.81 90.00°
Space group C2 (No. 5)
Inequivalent atoms, fractional coordinates:
Mo1 0.0000 0.0000 0.0000 [2 per cell]
P1 0.1992 0.3439 0.4160 [4 per cell]
O1 0.0000 0.4251 0.5000 [2 per cell]
O2 0.1411 0.1783 0.2780 [4 per cell]
O3 0.1429 0.8259 0.2984 [4 per cell]
O4 0.2417 0.9644 0.8053 [4 per cell]

## Properties
**Energy above the most stable polymorph in this dataset**: 38 meV per atom

---

Mo2P3O14: relaxed, GGA+U.

Cell: 6.5081 6.5112 9.2618 Å, 110.08 107.92 90.02°
Space group P1 (No. 1)
Inequivalent atoms, fractional coordinates:
Mo1 0.0000 0.0000 0.0000 [1 per cell]
Mo2 0.4263 0.4193 0.8307 [1 per cell]
P1 0.2274 0.0780 0.4183 [1 per cell]
P2 0.4674 0.9639 0.9246 [1 per cell]
P3 0.9660 0.4622 0.9226 [1 per cell]
O1 0.0121 0.3252 0.0307 [1 per cell]
O2 0.0141 0.7039 0.0322 [1 per cell]
O3 0.1096 0.4061 0.8080 [1 per cell]
O4 0.1216 0.1277 0.2684 [1 per cell]
O5 0.1342 0.8625 0.4345 [1 per cell]
O6 0.3089 0.2795 0.5717 [1 per cell]
O7 0.3264 0.0159 0.0339 [1 per cell]
O8 0.3684 0.8754 0.4079 [1 per cell]
O9 0.4170 0.7128 0.8103 [1 per cell]
O10 0.4184 0.1003 0.8102 [1 per cell]
O11 0.5159 0.5129 0.0372 [1 per cell]
O12 0.7043 0.0145 0.0341 [1 per cell]
O13 0.7219 0.4073 0.8075 [1 per cell]
O14 0.9114 0.8939 0.7933 [1 per cell]

---

Mo2PO5: relaxed, GGA+U.

Cell: 8.0425 8.0460 7.6579 Å, 90.00 121.33 90.00°
Space group C2/c (No. 15)
Inequivalent atoms, fractional coordinates:
Mo1 0.0000 0.0000 0.0000 [4 per cell]
Mo2 0.2500 0.2500 0.0000 [4 per cell]
P1 0.0000 0.3774 0.2500 [4 per cell]
O1 0.0000 0.1315 0.7500 [4 per cell]
O2 0.0534 0.2633 0.1227 [8 per cell]
O3 0.1781 0.4912 0.3845 [8 per cell]

---

MoP4O12: relaxed, GGA+U.

Cell: 12.3030 8.5536 10.5216 Å, 90.00 120.97 90.00°
Space group C2/c (No. 15)
Inequivalent atoms, fractional coordinates:
Mo1 0.0000 0.0437 0.2500 [4 per cell]
P1 0.0014 0.2607 0.5224 [8 per cell]
P2 0.2008 0.4857 0.1779 [8 per cell]
O1 0.0169 0.2205 0.3928 [8 per cell]
O2 0.0219 0.1283 0.9012 [8 per cell]
O3 0.1134 0.3809 0.0303 [8 per cell]
O4 0.1183 0.3564 0.6447 [8 per cell]
O5 0.1892 0.0321 0.3436 [8 per cell]
O6 0.2260 0.4152 0.3174 [8 per cell]

---

Mo4P7O24: relaxed, GGA+U.

Cell: 10.5519 10.5761 11.0931 Å, 108.71 111.85 104.39°
Space group P-1 (No. 2)
Inequivalent atoms, fractional coordinates:
Mo1 0.0020 0.1055 0.2593 [2 per cell]
Mo2 0.0129 0.6628 0.8874 [2 per cell]
Mo3 0.4846 0.8253 0.4119 [2 per cell]
Mo4 0.4983 0.3820 0.0761 [2 per cell]
P1 0.2335 0.1735 0.1192 [2 per cell]
P2 0.2417 0.9657 0.2440 [2 per cell]
P3 0.2469 0.5330 0.0461 [2 per cell]
P4 0.2476 0.6077 0.4805 [2 per cell]
P5 0.2687 0.7757 0.7650 [2 per cell]
P6 0.3041 0.0550 0.7406 [2 per cell]
P7 0.3079 0.3806 0.5672 [2 per cell]
O1 0.1109 0.5038 0.3355 [2 per cell]
O2 0.1303 0.2212 0.1790 [2 per cell]
O3 0.1347 0.4002 0.0342 [2 per cell]
O4 0.1346 0.9918 0.6695 [2 per cell]
O5 0.1376 0.9955 0.3025 [2 per cell]
O6 0.1404 0.7766 0.7990 [2 per cell]
O7 0.1406 0.2860 0.4740 [2 per cell]
O8 0.1445 0.0617 0.9610 [2 per cell]
O9 0.1696 0.5708 0.9244 [2 per cell]
O10 0.1719 0.8282 0.1033 [2 per cell]
O11 0.1878 0.6612 0.5958 [2 per cell]
O12 0.3126 0.1035 0.2178 [2 per cell]
O13 0.3370 0.6597 0.1989 [2 per cell]
O14 0.3451 0.5263 0.5412 [2 per cell]
O15 0.3497 0.7455 0.4962 [2 per cell]
O16 0.3524 0.4436 0.7322 [2 per cell]
O17 0.3565 0.9342 0.7886 [2 per cell]
O18 0.3603 0.0703 0.6386 [2 per cell]
O19 0.3648 0.3090 0.1577 [2 per cell]
O20 0.3741 0.4921 0.0086 [2 per cell]
O21 0.3804 0.7352 0.8563 [2 per cell]
O22 0.3826 0.1968 0.8857 [2 per cell]
O23 0.3828 0.9769 0.3693 [2 per cell]
O24 0.4098 0.3129 0.5369 [2 per cell]

---

MoP2O7: relaxed, GGA+U.

Cell: 8.3882 8.3882 8.3882 Å, 90.00 90.00 90.00°
Space group Pa-3 (No. 205)
Inequivalent atoms, fractional coordinates:
Mo1 0.0000 0.0000 0.0000 [4 per cell]
P1 0.1094 0.6094 0.8906 [8 per cell]
O1 0.0000 0.0000 0.5000 [4 per cell]
O2 0.0555 0.7193 0.4120 [24 per cell]

## Properties
**Energy above the most stable polymorph in this dataset**: 29 meV per atom

---

MoP3O: relaxed, GGA+U.

Cell: 4.6176 4.6176 4.6176 Å, 90.00 90.00 90.00°
Space group Pm-3m (No. 221)
Inequivalent atoms, fractional coordinates:
Mo1 0.0000 0.0000 0.0000 [1 per cell]
P1 0.0000 0.0000 0.5000 [3 per cell]
O1 0.5000 0.5000 0.5000 [1 per cell]

## Properties
**Energy above the most stable polymorph in this dataset**: 622 meV per atom

---

Record-wise total magnetization values, in μB/f.u.: 0.0, 2.6, 4.0, 0.0, 2.0, 2.0, 2.0, 2.0, 1.0, 5.0, 2.0, 11.0, 2.0, 0.0
Record-wise E values, in eV per atom: -6.300, -5.133, -6.096, -5.628, -7.337, -7.334, -7.311, -7.299, -6.960, -7.246, -7.195, -7.348, -7.308, -4.511